4
Lattice="-1.967 -2.529 3.045 3.310 -2.915 -0.283 2.171 2.155 3.191" Properties=species:S:1:pos:R:3 comment="SmAu3 | the Alexandria database | PBE | optimized geometry" crystal_system=cubic pbc="T T T"
Sm 0.000 0.000 0.000
Au 2.740 -0.380 1.454
Au 0.672 -2.722 1.381
Au 0.102 -0.187 3.118

=====

12
Lattice="-4.064 1.232 -2.783 3.819 -1.068 -6.048 -2.606 -8.807 -0.091" Properties=species:S:1:pos:R:3 comment="Sm2Au | the Alexandria database | PBE | optimized geometry" crystal_system=orthorhombic pbc="T T T"
Sm 0.388 -4.050 -4.674
Sm -2.195 -8.047 -7.303
Sm -0.657 -0.595 -1.620
Sm -3.240 -4.593 -4.249
Sm -2.746 -5.658 -0.810
Sm -0.106 -2.985 -8.113
Sm -1.220 -7.488 -3.847
Sm -1.631 -1.154 -5.075
Au 1.562 -1.331 -5.185
Au -1.703 -5.138 -6.733
Au -1.149 -3.505 -2.189
Au -4.414 -7.312 -3.737

=====

28
Lattice="5.698 0.000 0.000 0.000 9.072 0.000 0.000 0.000 11.114" Properties=species:S:1:pos:R:3 comment="SmAu6 | the Alexandria database | PBE | optimized geometry" de_polymorph_mev_per_atom=53 crystal_system=orthorhombic pbc="T T T"
Au 4.273 1.711 2.459
Au 0.047 8.573 3.396
Au 4.273 8.461 0.856
Au 2.802 4.038 2.162
Au 2.802 8.573 3.396
Au 5.651 5.034 8.953
Au 1.424 5.147 6.413
Au 0.047 4.038 2.162
Au 1.424 2.825 8.016
Au 1.424 5.977 3.787
Au 1.424 0.611 10.258
Au 1.424 7.360 8.656
Au 4.273 6.247 3.098
Au 1.424 8.035 5.806
Au 2.896 5.034 8.953
Au 4.273 5.573 0.249
Au 4.273 7.630 9.344
Au 4.273 1.037 5.309
Au 1.424 1.441 1.770
Au 2.896 0.498 7.719
Au 5.651 0.498 7.719
Au 1.424 3.499 10.866
Au 4.273 3.925 4.701
Au 4.273 3.094 7.327
Sm 4.273 2.149 10.365
Sm 1.424 6.923 0.750
Sm 4.273 6.685 6.307
Sm 1.424 2.387 4.808

=====

5
Lattice="5.682 0.000 0.000 0.000 5.682 0.000 0.000 0.000 5.682" Properties=species:S:1:pos:R:3 comment="Sm4Au | the Alexandria database | PBE | optimized geometry" crystal_system=cubic pbc="T T T"
Sm 0.000 0.000 0.000
Sm 2.841 2.841 0.000
Sm 0.000 2.841 2.841
Sm 2.841 0.000 2.841
Au 2.841 2.841 2.841

=====

7
Lattice="-6.191 -0.794 1.507 1.069 -6.234 1.104 1.326 1.316 6.143" Properties=species:S:1:pos:R:3 comment="SmAu6 | the Alexandria database | PBE | optimized geometry" de_polymorph_mev_per_atom=1220 crystal_system=cubic pbc="T T T"
Au -2.222 -0.963 4.042
Au -1.495 -2.457 6.243
Au -1.573 -4.750 4.712
Au -3.778 -3.098 4.835
Au -2.301 -3.256 2.512
Au -0.018 -2.615 3.920
Sm 0.000 0.000 0.000

=====

20
Lattice="8.817 0.000 0.000 -2.939 8.313 0.000 -2.939 -4.157 7.199" Properties=species:S:1:pos:R:3 comment="Sm2Au3 | the Alexandria database | PBE | optimized geometry" de_polymorph_mev_per_atom=150 crystal_system=cubic pbc="T T T"
Sm -1.699 -2.403 4.163
Sm 1.240 2.729 3.600
Sm 2.709 -1.428 3.600
Sm 5.648 1.753 3.037
Sm -1.699 3.831 6.636
Sm -0.230 -0.325 0.563
Sm -0.780 4.157 0.000
Sm 3.629 4.157 0.000
Au 3.011 0.988 1.888
Au -4.337 3.219 5.399
Au 0.072 -0.051 3.512
Au -1.541 1.090 5.487
Au -1.541 -2.028 7.111
Au 2.867 0.938 5.399
Au 5.950 -0.938 1.800
Au -1.398 4.106 3.688
Au 1.398 5.094 1.800
Au 5.806 5.246 1.712
Au 5.806 2.129 0.088
Au 1.541 5.145 5.312

=====

4
Lattice="-3.781 -0.854 0.880 1.038 -0.705 3.772 -0.953 5.558 1.301" Properties=species:S:1:pos:R:3 comment="SmAu3 | the Alexandria database | PBE | optimized geometry" crystal_system=tetragonal pbc="T T T"
Au -2.237 4.267 3.507
Au -2.400 2.544 1.135
Au -0.865 5.047 1.181
Sm 0.218 1.403 2.297

=====

7
Lattice="6.399 0.000 0.000 -2.133 6.033 0.000 -2.133 -3.017 5.225" Properties=species:S:1:pos:R:3 comment="SmAu6 | the Alexandria database | PBE | optimized geometry" de_polymorph_mev_per_atom=828 crystal_system=cubic pbc="T T T"
Sm 0.000 0.000 0.000
Au 1.067 3.771 1.306
Au -1.067 3.017 2.612
Au 1.067 -0.754 3.919
Au 3.200 2.262 1.306
Au -1.067 0.754 3.919
Au 3.200 0.000 2.612

=====

8
Lattice="-1.090 4.724 -1.476 -1.922 1.029 4.714 5.807 1.946 1.942" Properties=species:S:1:pos:R:3 comment="SmAu3 | the Alexandria database | PBE | optimized geometry" crystal_system=orthorhombic pbc="T T T"
Sm -0.656 0.351 1.610
Sm 1.093 4.013 3.338
Au 3.540 4.006 1.507
Au 2.284 1.305 2.491
Au -0.110 1.362 4.441
Au -1.847 3.059 2.456
Au 2.704 2.305 5.382
Au 0.547 3.002 0.506

=====

8
Lattice="4.280 0.000 0.000 -2.140 5.256 0.000 0.000 0.000 7.750" Properties=species:S:1:pos:R:3 comment="SmAu3 | the Alexandria database | PBE | optimized geometry" crystal_system=orthorhombic pbc="T T T"
Au 2.140 3.938 3.423
Au 0.000 2.828 1.937
Au 0.000 1.318 4.327
Au 2.140 3.938 0.452
Au 2.140 2.428 5.812
Au 0.000 1.318 7.298
Sm 2.140 0.667 1.937
Sm 0.000 4.589 5.812

=====

20
Lattice="-3.325 -4.321 -3.378 7.286 -7.062 1.863 -7.951 1.044 6.490" Properties=species:S:1:pos:R:3 comment="Sm7Au3 | the Alexandria database | PBE | optimized geometry" crystal_system=hexagonal pbc="T T T"
Sm -1.899 -6.046 1.864
Sm -1.330 -3.304 3.884
Sm -4.450 -2.894 6.431
Sm 0.960 -8.817 2.595
Sm -2.231 -5.698 -1.817
Sm -7.408 -1.851 4.447
Sm 2.234 -10.027 -0.675
Sm -4.909 -4.305 2.879
Sm 1.833 -4.846 3.025
Sm 1.221 -6.456 -0.683
Sm -2.639 -9.386 3.303
Sm -2.535 -2.491 0.469
Sm -2.943 -6.180 5.589
Sm -4.189 -0.533 3.153
Au -0.248 -6.661 4.282
Au 3.160 -7.109 1.501
Au -4.813 -7.278 3.475
Au -7.935 -4.251 2.676
Au -4.527 -4.699 -0.105
Au 0.037 -4.082 0.702

=====

6
Lattice="-2.909 2.416 -3.197 -3.539 -2.913 1.018 -0.505 6.195 5.143" Properties=species:S:1:pos:R:3 comment="Sm5Au | the Alexandria database | PBE | optimized geometry" crystal_system=orthorhombic pbc="T T T"
Sm -2.491 0.046 2.301
Sm -3.224 -0.248 -1.089
Sm -2.224 2.811 0.314
Sm -1.553 3.236 3.860
Sm -4.729 2.888 2.651
Au 0.000 0.000 0.000

=====

| no. | DFT total energy (eV per formula unit) | ΔE_f (eV per atom) | ρ (Mg/m³) |
| --- | --- | --- | --- |
| 1 | -16.554 | -0.50 | 14.26 |
| 2 | -14.451 | -0.58 | 9.80 |
| 3 | -26.939 | -0.37 | 15.40 |
| 4 | -22.216 | -0.01 | 7.23 |
| 5 | -18.765 | 0.80 | 8.36 |
| 6 | -22.408 | -0.63 | 11.22 |
| 7 | -16.545 | -0.50 | 13.46 |
| 8 | -21.509 | 0.41 | 10.97 |
| 9 | -17.308 | -0.69 | 14.56 |
| 10 | -17.164 | -0.65 | 14.12 |
| 11 | -47.840 | -0.50 | 9.23 |
| 12 | -27.648 | -0.13 | 8.78 |